(1)
The following is a PBE calculation of Ca3YV after structural relaxation, from Alexandria via LeMat-Bulk. Values from VASP.

Quantum ESPRESSO input file:
```
&SYSTEM
  ibrav = 0, nat = 5, ntyp = 3
/
ATOMIC_SPECIES
Y 88.91 Y.upf
Ca 40.08 Ca.upf
V 50.94 V.upf
CELL_PARAMETERS angstrom
-3.1977 -3.2875 -3.7338
4.1656 -4.1959 0.1269
-2.7196 -2.5614 4.5844
ATOMIC_POSITIONS angstrom
Y 0.0000 0.0000 0.0000
Ca 2.0828 -2.0979 0.0634
Ca -1.3598 -1.2807 2.2922
Ca -1.5988 -1.6438 -1.8669
V -0.8758 -5.0224 0.4888
```

E_form	1.386	eV/atom
uncorrected energy	-2.93	eV per atom
E above lowest polymorph	675	meV per atom

(2)
The following is a PBE calculation of BeSb2MoRu after structural relaxation, from Alexandria via LeMat-Bulk. Values from VASP.

Quantum ESPRESSO input file:
```
&SYSTEM
  ibrav = 0, nat = 5, ntyp = 4
/
ATOMIC_SPECIES
Sb 121.76 Sb.upf
Mo 95.94 Mo.upf
Be 9.01 Be.upf
Ru 101.07 Ru.upf
CELL_PARAMETERS angstrom
5.0866 0.0000 0.0000
0.0000 4.1238 0.0000
0.0000 0.0000 5.0866
ATOMIC_POSITIONS angstrom
Sb 0.0000 0.0000 2.5433
Sb 2.5433 0.0000 0.0000
Mo 2.5433 2.0619 2.5433
Be 0.0000 2.0619 0.0000
Ru 0.0000 0.0000 0.0000
```

raw formation energy	0.903	eV/atom
uncorrected energy	-5.51	eV per atom

(3)
The following is a PBE calculation of KSi2Hg2 after structural relaxation, from Alexandria via LeMat-Bulk. Values from VASP.

Quantum ESPRESSO input file:
```
&SYSTEM
  ibrav = 0, nat = 5, ntyp = 3
/
ATOMIC_SPECIES
K 39.10 K.upf
Si 28.09 Si.upf
Hg 200.59 Hg.upf
CELL_PARAMETERS angstrom
-3.0935 -3.2089 1.6844
2.0887 -3.3884 -2.6192
2.7692 -4.3614 3.5164
ATOMIC_POSITIONS angstrom
K 0.0000 0.0000 0.0000
Si 0.2255 -3.5351 0.4190
Si 1.5389 -7.4236 2.1626
Hg -0.4133 -5.4345 2.3667
Hg 2.1777 -5.5242 0.2149
```

raw formation energy	0.091	eV/atom
uncorrected energy	-2.42	eV per atom
E above lowest polymorph	0	meV per atom

(4)
The following is a PBE calculation of Zn2PtPb after structural relaxation, from Alexandria via LeMat-Bulk. Values from VASP.

Quantum ESPRESSO input file:
```
&SYSTEM
  ibrav = 0, nat = 4, ntyp = 3
/
ATOMIC_SPECIES
Pb 207.20 Pb.upf
Pt 195.08 Pt.upf
Zn 65.41 Zn.upf
CELL_PARAMETERS angstrom
-0.5698 1.1430 3.7780
2.4344 -2.4701 1.1145
5.5664 2.2023 0.1733
ATOMIC_POSITIONS angstrom
Pb 4.5044 -0.2158 0.7447
Pt 6.2814 -0.0431 3.0653
Zn 2.1698 -1.7402 0.8537
Zn 0.9102 0.2704 2.1604
```

E_form	-0.100	eV/atom
uncorrected energy	-3.17	eV per atom

(5)
The following is a PBE calculation of CuTeBr after structural relaxation, from Alexandria via LeMat-Bulk. Values from VASP.

Quantum ESPRESSO input file:
```
&SYSTEM
  ibrav = 0, nat = 6, ntyp = 3
/
ATOMIC_SPECIES
Te 127.60 Te.upf
Cu 63.55 Cu.upf
Br 79.90 Br.upf
CELL_PARAMETERS angstrom
-0.5064 -0.9720 -3.4932
5.5894 0.8832 -2.6909
3.2384 -7.0805 -0.2683
ATOMIC_POSITIONS angstrom
Te 4.6201 -2.2642 -4.3780
Te 3.0284 -4.4576 -3.5955
Cu 6.4151 -2.7504 -2.5701
Cu 4.3503 -5.5611 -1.5631
Br 6.2588 -6.0202 -5.6200
Br 1.0144 -0.5957 -2.6149
```

raw formation energy	-0.150	eV/atom
uncorrected energy	-3.12	eV per atom

(6)
The following is a PBE calculation of LaTlRe after structural relaxation, from Alexandria via LeMat-Bulk. Values from VASP.

Quantum ESPRESSO input file:
```
&SYSTEM
  ibrav = 0, nat = 3, ntyp = 3
/
ATOMIC_SPECIES
La 138.91 La.upf
Re 186.21 Re.upf
Tl 204.38 Tl.upf
CELL_PARAMETERS angstrom
4.8276 0.0000 0.0000
2.4138 4.1808 0.0000
2.4138 1.3936 3.9417
ATOMIC_POSITIONS angstrom
La 4.8276 2.7872 1.9709
Re 7.2414 4.1808 2.9563
Tl 0.0000 0.0000 0.0000
```

E_form	0.679	eV/atom
uncorrected energy	-5.90	eV per atom
E above lowest polymorph	731	meV per atom

(7)
The following is a PBE calculation of Pa3TcGe4 after structural relaxation, from Alexandria via LeMat-Bulk. Values from VASP.

Quantum ESPRESSO input file:
```
&SYSTEM
  ibrav = 0, nat = 8, ntyp = 3
/
ATOMIC_SPECIES
Pa 231.04 Pa.upf
Tc 98.00 Tc.upf
Ge 72.64 Ge.upf
CELL_PARAMETERS angstrom
4.2052 0.0000 0.0000
0.0000 3.8324 -0.1324
-2.1026 -1.5521 10.5131
ATOMIC_POSITIONS angstrom
Pa 0.0000 1.9162 -0.0662
Pa 0.0000 0.1018 2.9429
Pa 2.1026 2.1785 7.4378
Tc 2.1026 0.0000 0.0000
Ge 0.0000 2.0975 5.1996
Ge 2.1026 0.1829 5.1811
Ge 2.1026 1.9886 2.0212
Ge 0.0000 0.2918 8.3596
```

E_form	-0.432	eV/atom
uncorrected energy	-7.60	eV per atom

(8)
The following is a PBE calculation of K2CaZnPt after structural relaxation, from Alexandria via LeMat-Bulk. Values from VASP.

Quantum ESPRESSO input file:
```
&SYSTEM
  ibrav = 0, nat = 5, ntyp = 4
/
ATOMIC_SPECIES
K 39.10 K.upf
Zn 65.41 Zn.upf
Ca 40.08 Ca.upf
Pt 195.08 Pt.upf
CELL_PARAMETERS angstrom
6.5708 0.0000 0.0000
0.0000 5.4595 0.0000
0.0000 0.0000 6.5708
ATOMIC_POSITIONS angstrom
K 0.0000 0.0000 3.2854
K 3.2854 0.0000 0.0000
Zn 0.0000 2.7298 0.0000
Ca 0.0000 0.0000 0.0000
Pt 3.2854 2.7298 3.2854
```

E_form	1.011	eV/atom
uncorrected energy	-1.29	eV per atom

Q: Which value of uncorrected energy does entry 8 give?
A: -1.29 eV per atom

Q: Look up the uncorrected energy of the second one.
A: -5.51 eV per atom

Q: uncorrected energy of number 5 (CuTeBr)?
A: -3.12 eV per atom